AlAg2Os | PBE-GGA | optimized geometry

Values from the calculation:
The density of states at the Fermi level comes out at 2.27 states/eV/f.u. As for the formation energy: 0.2364 eV per atom.

abc: 2.8758 4.5400 9.7266
angles: 90.00 90.00 90.00
Space group Immm (No. 71)
One atom of each set of equivalent atoms:
Al 0.0000 0.0000 0.0000 x2
Ag 0.0000 0.5000 0.2621 x4
Os 0.0000 0.0000 0.5000 x2